Density functional theory data (PBE) for a geometry-optimized Pu2MnZnN5 structure.

Unit cell a=6.603 b=6.603 c=10.131 alpha=90.00 beta=90.00 gamma=151.61
Sites, in units of the cell vectors:
Pu 0.085 0.915 0.500
Pu 0.148 0.852 0.150
Pu 0.852 0.148 0.650
Pu 0.915 0.085 0.000
Mn 0.223 0.777 0.877
Mn 0.777 0.223 0.377
Zn 0.451 0.549 0.299
Zn 0.549 0.451 0.799
N 0.069 0.931 0.918
N 0.264 0.736 0.516
N 0.293 0.707 0.258
N 0.373 0.627 0.846
N 0.495 0.505 0.614
N 0.505 0.495 0.114
N 0.627 0.373 0.346
N 0.707 0.293 0.758
N 0.736 0.264 0.016
N 0.931 0.069 0.418

Results
Its crystal system is orthorhombic. The raw formation energy comes out at -4.4 eV/f.u. The calculation puts the density of states at the Fermi level at 9.654 states/eV/f.u.